Pm5Dy2Ga4, relaxed, DFT PBE; E = -45.594 eV/cell; total magnetic moment = 0.00 μB/cell
1.0
-4.6493 -0.2038 -0.5527
0.4406 -11.2448 0.4399
1.3008 5.9540 6.7310
Pm Dy Ga
5 2 4
Cartesian
-0.0918 -3.6575 2.1210
-2.8161 -1.8371 4.4973
0.0568 -7.4514 2.2694
-2.3246 -0.1019 -0.2764
-2.9647 1.9567 4.3488
-2.5923 -5.5849 3.9963
-0.3156 0.0902 2.6219
-2.2528 -5.6819 1.1763
0.0622 -1.5864 0.0621
-0.6551 0.1872 5.4420
0.3784 -9.6584 0.3779

---

Pm2DyGa2, relaxed, DFT PBE; total magnetic moment = 0.00 μB/cell; relative energy among the computed polymorphs = 0.000 eV per atom
1.0
4.4989 0.0000 0.0000
0.0000 7.7170 0.0000
0.0000 0.0000 7.7170
Pm Dy Ga
4 2 4
Cartesian
2.2495 1.3457 5.2042
2.2495 5.2042 6.3713
2.2495 6.3713 2.5128
2.2495 2.5128 1.3457
0.0000 0.0000 0.0000
0.0000 3.8585 3.8585
0.0000 2.9373 6.7958
0.0000 6.7958 4.7797
0.0000 4.7797 0.9212
0.0000 0.9212 2.9373

---

Pm2DyGa, relaxed, DFT PBE; total magnetic moment = 0.01 μB/cell; relative energy among the computed polymorphs = 0.168 eV per atom
1.0
-5.3233 0.7039 -0.6156
-3.0197 -3.9462 -2.1262
-3.4658 -2.7309 3.1212
Pm Ga Dy
2 1 1
Cartesian
-2.9522 -1.4933 0.0949
-8.8565 -4.4799 0.2846
-5.9044 -2.9866 0.1897
0.0000 0.0000 0.0000

---

PmDy4Ga4, relaxed, DFT PBE; E = -77.675 eV/cell; total magnetic moment = 0.00 μB/cell
1.0
4.8196 0.0000 0.0000
0.0000 9.9983 0.0000
0.0000 0.0000 9.9983
Pm Dy Ga
2 8 8
Cartesian
0.0000 0.0000 0.0000
2.4098 4.9992 4.9992
2.4098 3.7097 8.5716
4.8196 6.4258 8.7089
2.4098 6.2886 1.4267
0.0000 1.2894 6.4258
2.4098 8.5716 6.2886
0.0000 8.7089 3.5725
4.8196 3.5725 1.2894
2.4098 1.4267 3.7097
2.4100 9.2600 1.7551
2.4100 0.7383 8.2432
0.0002 6.7543 5.7375
4.8194 4.2608 6.7543
4.8194 5.7375 3.2441
2.4096 1.7551 0.7383
2.4096 8.2432 9.2600
0.0002 3.2441 4.2608

---

Pm2DyGa, relaxed, DFT PBE; total magnetic moment = 0.00 μB/cell; relative energy among the computed polymorphs = 0.019 eV per atom
1.0
3.5892 0.0000 0.0000
0.0000 3.5892 0.0000
0.0000 0.0000 9.0229
Pm Ga Dy
2 1 1
Cartesian
0.0000 0.0000 7.1121
0.0000 0.0000 1.9108
1.7946 1.7946 0.0000
1.7946 1.7946 4.5115

---

Pm4DyGa2, relaxed, DFT PBE; E = -30.300 eV/cell; total magnetic moment = 0.00 μB/cell
1.0
5.0469 0.0000 0.0000
2.5234 4.3707 0.0000
2.5234 1.4569 10.0893
Pm Dy Ga
4 1 2
Cartesian
7.5703 4.3707 9.0196
7.5703 4.3707 3.1430
2.5234 1.4569 1.0697
2.5234 1.4569 6.9462
5.0469 2.9138 5.0446
5.0469 2.9138 2.0591
5.0469 2.9138 8.0302